# 1
VASP calculation (PBE) on crystalline LiPuP at its relaxed geometry.

Lattice parameters (Å, degrees): 3.8353 3.8353 4.8168 113.46 113.46 90.00
Last column: nearest neighbours and their distance in Å.
Fractional coordinates of all 3 atoms:
1 P 0.5999 0.5999 0.1998  1 Li 2.46
2 Pu 0.9587 0.9587 0.9173  1 Li 2.65, 5 P 2.86-2.94
3 Li 0.2914 0.2914 0.5829  1 P 2.46, 1 Pu 2.65

Computed properties:
- formation energy (meV per atom) = -441
- DOS at the Fermi energy (states/eV/f.u.) = 7.94
- M_tot (μB/atom) = 2.00
- final energy (eV per formula unit) = -23.0
- SG = I4mm, No. 107

# 2
VASP calculation (PBE) on crystalline LiPuP at its relaxed geometry.

Lattice parameters (Å, degrees): 3.8466 4.0845 4.0845 120.00 90.00 90.00
Last column: nearest neighbours and their distance in Å.
Fractional coordinates of all 3 atoms:
1 P 0.1667 0.6667 0.3333  3 Li 2.36
2 Li 0.1666 0.0000 0.0000  3 P 2.36
3 Pu 0.6667 0.3333 0.6667  6 P 3.04, 6 Li 3.04

Computed properties:
- formation energy (meV per atom) = -738
- DOS at the Fermi energy (states/eV/f.u.) = 8.42
- M_tot (μB/atom) = 2.00
- final energy (eV per formula unit) = -23.9
- SG = P-6m2, No. 187

# 3
VASP calculation (PBE) on crystalline Li2PuPS at its relaxed geometry.

Lattice parameters (Å, degrees): 4.0030 4.0030 6.2779 90.00 90.00 90.00
Last column: nearest neighbours and their distance in Å.
Fractional coordinates of all 5 atoms:
1 Li 0.0000 0.5000 0.9044  2 S 2.28
2 Li 0.5000 0.0000 0.9044  2 S 2.28
3 Pu 0.0000 0.0000 0.5012  1 S 2.66, 4 P 2.91
4 P 0.5000 0.5000 0.6120  4 Li 2.72, 4 Pu 2.91
5 S 0.0000 0.0000 0.0779  4 Li 2.28

Computed properties:
- DOS at the Fermi energy (states/eV/f.u.) = 11.45
- uncorrected formation energy (meV per atom) = -1015
- M_tot (μB/atom) = 1.00
- final energy (eV per formula unit) = -32.8
- SG = P4mm, No. 99

# 4
VASP calculation (PBE) on crystalline LiPuTh2P4 at its relaxed geometry.

Lattice parameters (Å, degrees): 4.1460 7.0913 6.9150 109.85 90.00 90.00
Last column: nearest neighbours and their distance in Å.
Fractional coordinates of all 8 atoms:
1 Li 0.5000 0.5000 0.0000  6 P 2.84-2.90
2 Pu 0.0000 0.0000 0.0000  6 P 2.83-2.85
3 Th 0.5000 0.0000 0.5000  6 P 2.88-2.89
4 Th 0.0000 0.5000 0.5000  6 P 2.90-2.93
5 P 0.5000 0.2454 0.2410  1 Li 2.84, 2 Pu 2.85, 3 Th 2.89-2.93
6 P 0.5000 0.7546 0.7590  1 Li 2.84, 2 Pu 2.85, 3 Th 2.89-2.93
7 P 0.0000 0.2460 0.7519  1 Pu 2.83, 3 Th 2.88-2.90, 2 Li 2.90
8 P 0.0000 0.7540 0.2481  1 Pu 2.83, 3 Th 2.88-2.90, 2 Li 2.90

Computed properties:
- formation energy (meV per atom) = -1110
- DOS at the Fermi energy (states/eV/f.u.) = 11.68
- M_tot (μB/atom) = 0.61
- final energy (eV per formula unit) = -61.6
- SG = P2/m, No. 10

# 5
VASP calculation (PBE) on crystalline LiPuU2P4 at its relaxed geometry.

Lattice parameters (Å, degrees): 3.9538 6.8685 6.7181 109.53 90.00 90.00
Last column: nearest neighbours and their distance in Å.
Fractional coordinates of all 8 atoms:
1 Li 0.5000 0.5000 0.0000  6 P 2.79-2.83
2 Pu 0.0000 0.0000 0.0000  6 P 2.81-2.83
3 U 0.5000 0.0000 0.5000  6 P 2.74-2.76
4 U 0.0000 0.5000 0.5000  6 P 2.72-2.75
5 P 0.5000 0.2536 0.2571  3 U 2.75-2.76, 1 Li 2.79, 2 Pu 2.81
6 P 0.5000 0.7464 0.7429  3 U 2.75-2.76, 1 Li 2.79, 2 Pu 2.81
7 P 0.0000 0.2467 0.7373  3 U 2.72-2.74, 1 Pu 2.83, 2 Li 2.83
8 P 0.0000 0.7533 0.2627  3 U 2.72-2.74, 1 Pu 2.83, 2 Li 2.83

Computed properties:
- formation energy (meV per atom) = -809
- DOS at the Fermi energy (states/eV/f.u.) = 20.73
- M_tot (μB/atom) = 0.66
- final energy (eV per formula unit) = -66.9
- SG = P2/m, No. 10

# 6
VASP calculation (PBE) on crystalline Rb3LiP at its relaxed geometry.

Lattice parameters (Å, degrees): 6.6701 6.6701 6.6701 90.00 90.00 90.00
Last column: nearest neighbours and their distance in Å.
Fractional coordinates of all 5 atoms:
1 P 0.0000 0.0000 0.0000  6 Rb 3.34
2 Rb 0.0000 0.5000 0.0000  2 P 3.34
3 Rb 0.0000 0.0000 0.5000  2 P 3.34
4 Rb 0.5000 0.0000 0.0000  2 P 3.34
5 Li 0.5000 0.5000 0.5000  12 Rb 4.72

Computed properties:
- formation energy (meV per atom) = 131
- energy relative to the lowest polymorph listed for this composition (eV/atom) = 0.000
- DOS at the Fermi energy (states/eV/f.u.) = 7.07
- M_tot (μB/atom) = 0.20
- final energy (eV per formula unit) = -9.6
- SG = Pm-3m, No. 221

# 7
VASP calculation (PBE) on crystalline RbLi2P at its relaxed geometry.

Lattice parameters (Å, degrees): 4.3568 4.3568 6.3957 70.09 70.09 60.00
Last column: nearest neighbours and their distance in Å.
Fractional coordinates of all 4 atoms:
1 P 0.5000 0.5000 0.5000  6 Li 2.53
2 Rb 0.0000 0.0000 0.0000  2 Li 3.21
3 Li 0.1822 0.1822 0.4535  3 P 2.53, 3 Li 2.57
4 Li 0.8178 0.8178 0.5465  3 P 2.53, 3 Li 2.57

Computed properties:
- formation energy (meV per atom) = -520
- DOS at the Fermi energy (states/eV/f.u.) = 0.01
- M_tot (μB/atom) = 0.00
- final energy (eV per formula unit) = -12.3
- SG = R-3m, No. 166

# 8
VASP calculation (PBE) on crystalline Rb2LiP at its relaxed geometry.

Lattice parameters (Å, degrees): 4.9401 4.9401 11.7937 77.91 77.91 90.00
Last column: nearest neighbours and their distance in Å.
Fractional coordinates of all 8 atoms:
1 P 0.0000 0.0000 0.0000  4 Rb 3.31, 4 Li 3.49
2 P 0.7500 0.2500 0.5000  4 Rb 3.31, 4 Li 3.49
3 Rb 0.6278 0.1250 0.2500  2 P 3.31, 2 Li 3.32, 4 Rb 3.47-3.51
4 Rb 0.1222 0.6250 0.2500  2 P 3.31, 2 Li 3.32, 4 Rb 3.47-3.51
5 Rb 0.3750 0.3722 0.7500  2 P 3.31, 2 Li 3.32, 4 Rb 3.47-3.51
6 Rb 0.8750 0.8778 0.7500  2 P 3.31, 2 Li 3.32, 4 Rb 3.47-3.51
7 Li 0.5000 0.5000 0.0000  4 Rb 3.32, 4 P 3.49
8 Li 0.2500 0.7500 0.5000  4 Rb 3.32, 4 P 3.49

Computed properties:
- formation energy (meV per atom) = 280
- DOS at the Fermi energy (states/eV/f.u.) = 0.50
- M_tot (μB/atom) = 0.00
- final energy (eV per formula unit) = -8.1
- SG = I-42d, No. 122

# 9
VASP calculation (PBE) on crystalline Rb4LiP2 at its relaxed geometry.

Lattice parameters (Å, degrees): 5.8525 5.8525 10.1010 73.16 73.16 60.00
Last column: nearest neighbours and their distance in Å.
Fractional coordinates of all 7 atoms:
1 Rb 0.3863 0.3863 0.8412  3 P 3.49, 3 Li 3.70
2 Rb 0.2064 0.2064 0.3808  4 P 3.51-3.60
3 Rb 0.7936 0.7936 0.6192  4 P 3.51-3.60
4 Rb 0.6137 0.6137 0.1588  3 P 3.49, 3 Li 3.70
5 Li 0.0000 0.0000 0.0000  2 P 2.38
6 P 0.0834 0.0834 0.7498  1 Li 2.38
7 P 0.9166 0.9166 0.2502  1 Li 2.38

Computed properties:
- formation energy (meV per atom) = -196
- DOS at the Fermi energy (states/eV/f.u.) = 7.13
- M_tot (μB/atom) = 0.15
- final energy (eV per formula unit) = -18.0
- SG = R-3m, No. 166

# 10
VASP calculation (PBE) on crystalline Rb2Li2P at its relaxed geometry.

Lattice parameters (Å, degrees): 4.3984 4.3984 10.7405 78.18 78.18 60.00
Last column: nearest neighbours and their distance in Å.
Fractional coordinates of all 5 atoms:
1 Rb 0.4279 0.4279 0.7162  1 Li 3.25
2 Rb 0.5721 0.5721 0.2838  1 Li 3.25
3 Li 0.6758 0.6758 0.9725  3 P 2.56, 3 Li 2.60
4 Li 0.3242 0.3242 0.0275  3 P 2.56, 3 Li 2.60
5 P 0.0000 0.0000 0.0000  6 Li 2.56

Computed properties:
- formation energy (meV per atom) = -381
- DOS at the Fermi energy (states/eV/f.u.) = 1.56
- M_tot (μB/atom) = 0.00
- final energy (eV per formula unit) = -13.1
- SG = R-3m, No. 166

# 11
VASP calculation (PBE) on crystalline Rb2LiP at its relaxed geometry.

Lattice parameters (Å, degrees): 6.1513 6.6281 6.6281 104.70 90.00 90.00
Last column: nearest neighbours and their distance in Å.
Fractional coordinates of all 8 atoms:
1 Rb 0.7500 0.0309 0.6952  3 Rb 3.52-3.79, 4 P 3.57-3.72, 2 Li 3.76
2 Rb 0.2500 0.9691 0.3048  3 Rb 3.52-3.79, 4 P 3.57-3.72, 2 Li 3.76
3 Rb 0.2500 0.3048 0.9691  3 Rb 3.52-3.79, 4 P 3.57-3.72, 2 Li 3.76
4 Rb 0.7500 0.6952 0.0309  3 Rb 3.52-3.79, 4 P 3.57-3.72, 2 Li 3.76
5 Li 0.0000 0.5000 0.5000  2 P 2.43
6 Li 0.5000 0.5000 0.5000  2 P 2.43
7 P 0.7500 0.2683 0.2683  2 Li 2.43
8 P 0.2500 0.7317 0.7317  2 Li 2.43

Computed properties:
- formation energy (meV per atom) = -329
- M_tot (μB/atom) = 0.00
- final energy (eV per formula unit) = -10.6
- SG = Cmcm, No. 63

# 12
VASP calculation (PBE) on crystalline RbLi3P at its relaxed geometry.

Lattice parameters (Å, degrees): 4.9474 4.9474 4.9474 90.00 90.00 90.00
Last column: nearest neighbours and their distance in Å.
Fractional coordinates of all 5 atoms:
1 P 0.0000 0.0000 0.0000  6 Li 2.47
2 Rb 0.5000 0.5000 0.5000  12 Li 3.50
3 Li 0.0000 0.5000 0.0000  2 P 2.47
4 Li 0.0000 0.0000 0.5000  2 P 2.47
5 Li 0.5000 0.0000 0.0000  2 P 2.47

Computed properties:
- formation energy (meV per atom) = -317
- energy relative to the lowest polymorph listed for this composition (eV/atom) = 0.000
- DOS at the Fermi energy (states/eV/f.u.) = 2.64
- M_tot (μB/atom) = 0.00
- final energy (eV per formula unit) = -13.7
- SG = Pm-3m, No. 221